A geometry-optimized CeCoSe2 structure, computed with GGA-PBE.

Results
space group = No. 166
DOS(E_F) = 8.12 states/eV per cell
E_form (uncorrected) = -2.7 eV per formula unit

Lattice parameters (Å, degrees): 4.443 4.443 7.923 73.72 73.72 60.00
Site moments in Bohr magnetons follow the coordinates.
Positions (direct):
Ce  0.500  0.500  0.500  -0.89
Se  0.899  0.899  0.303  0.03
Se  0.101  0.101  0.697  0.03
Co  0.000  0.000  0.000  1.87